Run one
# DyY7Tm3

A relaxed structure of DyY7Tm3 (GGA-PBE, Alexandria via LeMat-Bulk).

Crystal system   monoclinic

a = 12.5066 Å, b = 11.2292 Å, c = 5.7636 Å
α = 90.00°, β = 117.37°, γ = 90.00°
Closest atoms and distances in Å follow each position.
Space group C2/m (No. 12)
Unique sites:
Dy 0.0000 0.0000 0.0000 (multiplicity 2)  2 Y 2.88
Y 0.0000 0.0000 0.5000 (multiplicity 2)  2 Dy 2.88
Y 0.1957 0.2967 0.1956 (multiplicity 8)  2 Tm 3.15-3.53, 3 Y 3.29-3.51
Y 0.2060 0.5000 0.7050 (multiplicity 4)  2 Tm 3.26, 1 Dy 3.27, 2 Y 3.51
Tm 0.0000 0.2931 0.5000 (multiplicity 4)  9 Y 3.26-3.61
Tm 0.0000 0.5000 0.0000 (multiplicity 2)  4 Y 3.15

Run two
# DyY7Tm3

A relaxed structure of DyY7Tm3 (GGA-PBE, Alexandria via LeMat-Bulk).

Crystal system   monoclinic

a = 6.9222 Å, b = 5.5214 Å, c = 9.9217 Å
α = 90.00°, β = 109.91°, γ = 90.00°
Closest atoms and distances in Å follow each position.
Space group P2/m (No. 10)
Unique sites:
Dy 0.0000 0.0000 0.0000 (multiplicity 1)  2 Tm 3.46, 10 Y 3.52-3.80
Y 0.0000 0.0000 0.5000 (multiplicity 1)  4 Tm 3.37
Y 0.1462 0.5000 0.7897 (multiplicity 2)  3 Y 3.26-3.54, 2 Tm 3.32-3.33
Y 0.3211 0.5000 0.1394 (multiplicity 2)  5 Y 3.26-3.54, 2 Tm 3.50, 2 Dy 3.52
Y 0.4197 0.0000 0.3310 (multiplicity 2)  3 Y 3.15-3.29, 5 Tm 3.51-3.53
Tm 0.2778 0.5000 0.4982 (multiplicity 2)  1 Tm 3.06, 4 Y 3.32-3.37
Tm 0.5000 0.0000 0.0000 (multiplicity 1)  2 Dy 3.46, 10 Y 3.50-3.81

Top of the stability list: run two, leading by 0.121 eV/atom.

Run one
# Dy8YTm6

A relaxed structure of Dy8YTm6 (GGA-PBE, Alexandria via LeMat-Bulk).

Crystal system   hexagonal

a = 12.6091 Å, b = 12.6091 Å, c = 3.5882 Å
α = 90.00°, β = 90.00°, γ = 120.00°
Closest atoms and distances in Å follow each position.
Space group P6/m (No. 175)
Unique sites:
Dy 0.1007 0.3404 0.0000 (multiplicity 6)  4 Tm 3.45-3.48, 5 Dy 3.59-3.82, 1 Y 3.82
Dy 0.3333 0.6667 0.0000 (multiplicity 2)  6 Tm 3.11
Y 0.0000 0.0000 0.0000 (multiplicity 1)  2 Y 3.59, 6 Dy 3.82
Tm 0.1148 0.6268 0.5000 (multiplicity 6)  1 Tm 3.06, 2 Dy 3.11

Run two
# Dy8YTm6

A relaxed structure of Dy8YTm6 (GGA-PBE, Alexandria via LeMat-Bulk).

Crystal system   trigonal

a = 8.9499 Å, b = 8.9499 Å, c = 20.4731 Å
α = 90.00°, β = 90.00°, γ = 120.00°
Closest atoms and distances in Å follow each position.
Space group R-3 (No. 148, hexagonal axes)
Unique sites:
Dy 0.0000 0.0000 0.0767 (multiplicity 6)  4 Dy 3.14-3.39, 3 Tm 3.32
Dy 0.0815 0.5284 0.3084 (multiplicity 18)  3 Tm 3.37-3.74, 5 Dy 3.37-3.39, 1 Y 3.50
Y 0.0000 0.0000 0.5000 (multiplicity 3)  6 Tm 3.41, 6 Dy 3.50
Tm 0.0590 0.8128 0.2065 (multiplicity 18)  3 Dy 3.32-3.39, 1 Y 3.41, 4 Tm 3.45-3.69

Top of the stability list: run two, leading by 0.171 eV/atom.

Run one
# Dy9Y2Tm

A relaxed structure of Dy9Y2Tm (GGA-PBE, Alexandria via LeMat-Bulk).

Crystal system   tetragonal

a = 5.0109 Å, b = 5.0109 Å, c = 15.0369 Å
α = 90.00°, β = 90.00°, γ = 90.00°
Closest atoms and distances in Å follow each position.
Space group P4/mmm (No. 123)
Unique sites:
Dy 0.0000 0.0000 0.0000 (multiplicity 1)  8 Dy 3.53, 4 Tm 3.54
Dy 0.0000 0.0000 0.3325 (multiplicity 2)  4 Y 3.54, 8 Dy 3.55
Dy 0.0000 0.5000 0.1652 (multiplicity 4)  8 Dy 3.53-3.55, 2 Tm 3.53, 2 Y 3.55
Dy 0.0000 0.5000 0.5000 (multiplicity 2)  8 Dy 3.54-3.55, 4 Y 3.55
Y 0.5000 0.5000 0.3327 (multiplicity 2)  12 Dy 3.54-3.55
Tm 0.5000 0.5000 0.0000 (multiplicity 1)  12 Dy 3.53-3.54

Run two
# Dy9Y2Tm

A relaxed structure of Dy9Y2Tm (GGA-PBE, Alexandria via LeMat-Bulk).

Crystal system   hexagonal

a = 11.2022 Å, b = 11.2022 Å, c = 3.4791 Å
α = 90.00°, β = 90.00°, γ = 120.00°
Closest atoms and distances in Å follow each position.
Space group P6/mmm (No. 191)
Unique sites:
Dy 0.0000 0.5000 0.0000 (multiplicity 3)  2 Y 3.23, 10 Dy 3.48-3.61
Dy 0.1747 0.3493 0.5000 (multiplicity 6)  8 Dy 3.39-3.61, 2 Y 3.54
Y 0.3333 0.6667 0.0000 (multiplicity 2)  9 Dy 3.23-3.54, 2 Y 3.48
Tm 0.0000 0.0000 0.0000 (multiplicity 1)  2 Tm 3.48, 12 Dy 3.81

Top of the stability list: run one, leading by 0.040 eV/atom.

Run one
# Dy12Y2Tm5

A relaxed structure of Dy12Y2Tm5 (GGA-PBE, Alexandria via LeMat-Bulk).

Crystal system   monoclinic

a = 17.0909 Å, b = 6.7908 Å, c = 11.1174 Å
α = 90.00°, β = 105.46°, γ = 90.00°
Closest atoms and distances in Å follow each position.
Space group C2/m (No. 12)
Unique sites:
Dy 0.0517 0.0000 0.2705 (multiplicity 4)  2 Tm 2.91-3.22, 2 Dy 3.13
Dy 0.0799 0.5000 0.4235 (multiplicity 4)  3 Tm 3.50-3.84, 9 Dy 3.58-3.89
Dy 0.1124 0.2618 0.7516 (multiplicity 8)  4 Dy 3.23-3.56, 2 Tm 3.38-3.44
Dy 0.1924 0.2610 0.2260 (multiplicity 8)  3 Dy 3.13-3.28, 2 Tm 3.30-3.40
Y 0.0000 0.2470 0.0000 (multiplicity 4)  4 Dy 3.35-3.57, 2 Y 3.36-3.44
Tm 0.0000 0.0000 0.5000 (multiplicity 2)  2 Dy 2.91
Tm 0.2083 0.0000 0.5086 (multiplicity 4)  6 Dy 3.22-3.55, 1 Tm 3.54
Tm 0.2261 0.0000 0.9946 (multiplicity 4)  6 Dy 3.30-3.52, 2 Tm 3.49

Run two
# Dy12Y2Tm5

A relaxed structure of Dy12Y2Tm5 (GGA-PBE, Alexandria via LeMat-Bulk).

Crystal system   triclinic

a = 6.1134 Å, b = 9.3278 Å, c = 10.6081 Å
α = 78.90°, β = 84.39°, γ = 89.98°
Closest atoms and distances in Å follow each position.
Space group P-1 (No. 2)
Unique sites:
Dy 0.0264 0.1055 0.3425 (multiplicity 2)  7 Dy 3.52-3.54, 4 Tm 3.53, 1 Y 3.53
Dy 0.1307 0.5259 0.7108 (multiplicity 2)  7 Dy 3.51-3.53, 5 Tm 3.52-3.54
Dy 0.1845 0.7360 0.3961 (multiplicity 2)  4 Tm 3.51-3.53, 7 Dy 3.52-3.54, 1 Y 3.53
Dy 0.2898 0.1588 0.7615 (multiplicity 2)  6 Dy 3.51-3.54, 3 Tm 3.51-3.55, 3 Y 3.53-3.55
Dy 0.3951 0.5787 0.1316 (multiplicity 2)  7 Dy 3.52-3.54, 4 Tm 3.52-3.54, 1 Y 3.52
Dy 0.4462 0.7886 0.8147 (multiplicity 2)  6 Dy 3.52-3.54, 4 Tm 3.52-3.54, 2 Y 3.55
Y 0.2362 0.9469 0.0798 (multiplicity 2)  8 Dy 3.52-3.55, 2 Y 3.53-3.54, 2 Tm 3.54
Tm 0.0795 0.3168 0.0264 (multiplicity 2)  1 Tm 3.51, 9 Dy 3.52-3.55, 2 Y 3.54
Tm 0.3431 0.3688 0.4469 (multiplicity 2)  10 Dy 3.51-3.54, 2 Tm 3.52-3.53
Tm 0.5000 0.0000 0.5000 (multiplicity 1)  10 Dy 3.52-3.53, 2 Tm 3.53

Top of the stability list: run two, leading by 0.260 eV/atom.

Run one
# Dy7Y2Tm3

A relaxed structure of Dy7Y2Tm3 (GGA-PBE, Alexandria via LeMat-Bulk).

Crystal system   monoclinic

a = 6.2927 Å, b = 3.4963 Å, c = 17.2896 Å
α = 90.00°, β = 96.20°, γ = 90.00°
Closest atoms and distances in Å follow each position.
Space group P2/m (No. 10)
Unique sites:
Dy 0.0000 0.0000 0.0000 (multiplicity 1)  8 Dy 3.49-3.56, 4 Tm 3.60
Dy 0.2259 0.5000 0.1685 (multiplicity 2)  1 Y 3.45, 8 Dy 3.50-3.60, 3 Tm 3.54-3.63
Dy 0.2565 0.5000 0.4983 (multiplicity 2)  2 Dy 3.06-3.23, 2 Y 3.38
Dy 0.2753 0.0000 0.8353 (multiplicity 2)  2 Y 3.46, 7 Dy 3.49-3.60, 3 Tm 3.51-3.69
Y 0.0610 0.5000 0.6726 (multiplicity 2)  5 Dy 3.38-3.46, 2 Y 3.50, 4 Tm 3.58-3.64
Tm 0.4493 0.0000 0.3427 (multiplicity 2)  2 Tm 3.50, 7 Dy 3.53-3.69, 4 Y 3.58-3.64
Tm 0.5000 0.5000 0.0000 (multiplicity 1)  2 Tm 3.50, 10 Dy 3.51-3.60

Run two
# Dy7Y2Tm3

A relaxed structure of Dy7Y2Tm3 (GGA-PBE, Alexandria via LeMat-Bulk).

Crystal system   orthorhombic

a = 5.7779 Å, b = 37.2451 Å, c = 3.5729 Å
α = 90.00°, β = 90.00°, γ = 90.00°
Closest atoms and distances in Å follow each position.
Space group Cmmm (No. 65)
Unique sites:
Dy 0.0000 0.0000 0.0000 (multiplicity 2)  4 Tm 3.40, 2 Dy 3.57
Dy 0.0000 0.0906 0.5000 (multiplicity 4)  8 Dy 3.46-3.82, 2 Tm 3.64, 2 Y 3.65
Dy 0.0000 0.2703 0.0000 (multiplicity 4)  4 Dy 3.26-3.57, 2 Tm 3.46, 3 Y 3.51
Dy 0.0000 0.4277 0.0000 (multiplicity 4)  4 Tm 3.23-3.40, 6 Dy 3.46-3.57
Y 0.0000 0.1761 0.0000 (multiplicity 4)  5 Dy 3.51-3.65, 4 Tm 3.53, 2 Y 3.57
Tm 0.0000 0.3500 0.5000 (multiplicity 4)  6 Dy 3.40-3.64, 4 Y 3.53, 2 Tm 3.57
Tm 0.0000 0.5000 0.5000 (multiplicity 2)  8 Dy 3.23-3.40, 2 Tm 3.57

Top of the stability list: run one, leading by 0.075 eV/atom.

Run one
# DyYTmZn

A relaxed structure of DyYTmZn (GGA-PBE, Alexandria via LeMat-Bulk).

Crystal system   cubic

a = 7.5125 Å, b = 7.5125 Å, c = 7.5125 Å
α = 90.00°, β = 90.00°, γ = 90.00°
Closest atoms and distances in Å follow each position.
Space group F-43m (No. 216)
Unique sites:
Dy 0.0000 0.0000 0.0000 (multiplicity 4)  4 Tm 3.25, 4 Zn 3.25
Y 0.0000 0.0000 0.5000 (multiplicity 4)  4 Tm 3.25, 4 Zn 3.25
Tm 0.2500 0.2500 0.2500 (multiplicity 4)  4 Dy 3.25, 4 Y 3.25
Zn 0.2500 0.2500 0.7500 (multiplicity 4)  4 Dy 3.25, 4 Y 3.25

Run two
# DyYTmZn

A relaxed structure of DyYTmZn (GGA-PBE, Alexandria via LeMat-Bulk).

Crystal system   tetragonal

a = 3.5478 Å, b = 3.5478 Å, c = 8.5916 Å
α = 90.00°, β = 90.00°, γ = 90.00°
Closest atoms and distances in Å follow each position.
Space group P4mm (No. 99)
Unique sites:
Dy 0.0000 0.0000 0.0000 (multiplicity 1)  4 Tm 3.54, 4 Dy 3.55, 4 Y 3.59
Y 0.5000 0.5000 0.7015 (multiplicity 1)  4 Zn 3.10
Tm 0.5000 0.5000 0.2901 (multiplicity 1)  4 Zn 3.04
Zn 0.0000 0.0000 0.4896 (multiplicity 1)  4 Tm 3.04, 4 Y 3.10

Top of the stability list: run two, leading by 0.199 eV/atom.

Run one
# Dy2Tm2Zn

A relaxed structure of Dy2Tm2Zn (GGA-PBE, Alexandria via LeMat-Bulk).

Crystal system   tetragonal

a = 4.9277 Å, b = 4.9277 Å, c = 23.9398 Å
α = 90.00°, β = 90.00°, γ = 90.00°
Closest atoms and distances in Å follow each position.
Space group I4_1/amd (No. 141, origin choice 2)
Unique sites:
Dy 0.0000 0.2500 0.0510 (multiplicity 8)  2 Zn 3.03
Tm 0.0000 0.2500 0.1945 (multiplicity 8)  2 Zn 2.97
Zn 0.0000 0.2500 0.8750 (multiplicity 4)  4 Tm 2.97, 4 Dy 3.03

Run two
# Dy2Tm2Zn

A relaxed structure of Dy2Tm2Zn (GGA-PBE, Alexandria via LeMat-Bulk).

Crystal system   tetragonal

a = 3.5112 Å, b = 3.5112 Å, c = 22.2253 Å
α = 90.00°, β = 90.00°, γ = 90.00°
Closest atoms and distances in Å follow each position.
Space group I4/mmm (No. 139)
Unique sites:
Dy 0.0000 0.0000 0.1939 (multiplicity 4)  8 Dy 3.51-3.52, 4 Tm 3.56
Tm 0.0000 0.0000 0.4211 (multiplicity 4)  4 Zn 3.04
Zn 0.0000 0.0000 0.0000 (multiplicity 2)  8 Tm 3.04

Top of the stability list: run two, leading by 0.136 eV/atom.

Run one
# Dy3TmZn

A relaxed structure of Dy3TmZn (GGA-PBE, Alexandria via LeMat-Bulk).

Crystal system   monoclinic

a = 11.0331 Å, b = 7.2611 Å, c = 7.6782 Å
α = 90.00°, β = 110.55°, γ = 90.00°
Closest atoms and distances in Å follow each position.
Space group C2/m (No. 12)
Unique sites:
Dy 0.0606 0.0000 0.2341 (multiplicity 4)  2 Zn 3.23-3.30, 7 Dy 3.37-3.49
Dy 0.1610 0.2504 0.6488 (multiplicity 8)  2 Zn 3.11, 3 Tm 3.40-3.48, 2 Dy 3.40-3.41
Tm 0.0615 0.5000 0.2360 (multiplicity 4)  2 Zn 3.17-3.24, 1 Tm 3.39, 6 Dy 3.40-3.48
Zn 0.2466 0.5000 0.0002 (multiplicity 4)  6 Dy 3.11-3.30, 2 Tm 3.17-3.24

Run two
# Dy3TmZn

A relaxed structure of Dy3TmZn (GGA-PBE, Alexandria via LeMat-Bulk).

Crystal system   monoclinic

a = 28.8500 Å, b = 3.6059 Å, c = 5.3457 Å
α = 90.00°, β = 90.13°, γ = 90.00°
Closest atoms and distances in Å follow each position.
Space group C2/m (No. 12)
Unique sites:
Dy 0.0453 0.0000 0.2456 (multiplicity 4)  6 Zn 3.05-3.24
Dy 0.1247 0.0000 0.7482 (multiplicity 4)  2 Zn 3.04, 4 Dy 3.37-3.38
Dy 0.1593 0.5000 0.2490 (multiplicity 4)  8 Dy 3.37-3.75, 4 Tm 3.40-3.61
Tm 0.2322 0.5000 0.7498 (multiplicity 4)  6 Tm 3.38-3.61, 6 Dy 3.40-3.61
Zn 0.0399 0.5000 0.7419 (multiplicity 4)  8 Dy 3.04-3.24

Top of the stability list: run two, leading by 0.102 eV/atom.

Run one
# DyTmZn

A relaxed structure of DyTmZn (GGA-PBE, Alexandria via LeMat-Bulk).

Crystal system   tetragonal

a = 3.5452 Å, b = 3.5452 Å, c = 12.0851 Å
α = 90.00°, β = 90.00°, γ = 90.00°
Closest atoms and distances in Å follow each position.
Space group I4mm (No. 107)
Unique sites:
Dy 0.0000 0.0000 0.0000 (multiplicity 2)  4 Zn 3.08
Tm 0.0000 0.0000 0.2887 (multiplicity 2)  4 Zn 3.03
Zn 0.0000 0.0000 0.6484 (multiplicity 2)  4 Tm 3.03, 4 Dy 3.08

Run two
# DyTmZn

A relaxed structure of DyTmZn (GGA-PBE, Alexandria via LeMat-Bulk).

Crystal system   tetragonal

a = 4.9045 Å, b = 4.9045 Å, c = 6.9614 Å
α = 90.00°, β = 90.00°, γ = 90.00°
Closest atoms and distances in Å follow each position.
Space group I-4m2 (No. 119)
Unique sites:
Dy 0.0000 0.0000 0.0000 (multiplicity 2)  4 Zn 3.01
Tm 0.0000 0.0000 0.5000 (multiplicity 2)  4 Zn 3.01
Zn 0.0000 0.5000 0.2500 (multiplicity 2)  4 Dy 3.01, 4 Tm 3.01

Run three
# DyTmZn

A relaxed structure of DyTmZn (GGA-PBE, Alexandria via LeMat-Bulk).

Crystal system   trigonal

a = 4.9651 Å, b = 4.9651 Å, c = 3.5923 Å
α = 90.00°, β = 90.00°, γ = 120.00°
Closest atoms and distances in Å follow each position.
Space group P3m1 (No. 156)
Unique sites:
Dy 0.0000 0.0000 0.0000 (multiplicity 1)  3 Zn 3.07, 3 Tm 3.32
Tm 0.3333 0.6667 0.5350 (multiplicity 1)  3 Zn 2.98, 3 Dy 3.32
Zn 0.6667 0.3333 0.3039 (multiplicity 1)  3 Tm 2.98, 3 Dy 3.07

Top of the stability list: run one, leading by 0.159 eV/atom.

Run one
# DyTmZn4

A relaxed structure of DyTmZn4 (GGA-PBE, Alexandria via LeMat-Bulk).

Crystal system   orthorhombic

a = 4.4775 Å, b = 6.9050 Å, c = 7.7119 Å
α = 90.00°, β = 90.00°, γ = 90.00°
Closest atoms and distances in Å follow each position.
Space group Immm (No. 71)
Unique sites:
Dy 0.0000 0.0000 0.0000 (multiplicity 2)  12 Zn 3.10-3.11, 2 Tm 3.45
Tm 0.0000 0.5000 0.0000 (multiplicity 2)  12 Zn 3.10, 2 Dy 3.45
Zn 0.0000 0.2496 0.3334 (multiplicity 8)  3 Zn 2.57-2.58

Run two
# DyTmZn4

A relaxed structure of DyTmZn4 (GGA-PBE, Alexandria via LeMat-Bulk).

Crystal system   cubic

a = 7.6841 Å, b = 7.6841 Å, c = 7.6841 Å
α = 90.00°, β = 90.00°, γ = 90.00°
Closest atoms and distances in Å follow each position.
Space group F-43m (No. 216)
Unique sites:
Dy 0.0000 0.0000 0.0000 (multiplicity 4)  12 Zn 3.19, 4 Tm 3.33
Tm 0.2500 0.2500 0.7500 (multiplicity 4)  12 Zn 3.19, 4 Dy 3.33
Zn 0.1250 0.1250 0.3750 (multiplicity 16)  6 Zn 2.72

Top of the stability list: run one, leading by 0.044 eV/atom.

Run one
# DyTm4Zn

A relaxed structure of DyTm4Zn (GGA-PBE, Alexandria via LeMat-Bulk).

Crystal system   tetragonal

a = 3.4991 Å, b = 3.4991 Å, c = 13.5581 Å
α = 90.00°, β = 90.00°, γ = 90.00°
Closest atoms and distances in Å follow each position.
Space group P4/mmm (No. 123)
Unique sites:
Dy 0.0000 0.0000 0.0000 (multiplicity 1)  4 Dy 3.50, 8 Tm 3.51
Tm 0.0000 0.0000 0.3695 (multiplicity 2)  4 Zn 3.04
Tm 0.5000 0.5000 0.1833 (multiplicity 2)  8 Tm 3.50-3.54, 4 Dy 3.51
Zn 0.5000 0.5000 0.5000 (multiplicity 1)  8 Tm 3.04

Run two
# DyTm4Zn

A relaxed structure of DyTm4Zn (GGA-PBE, Alexandria via LeMat-Bulk).

Crystal system   monoclinic

a = 8.6820 Å, b = 13.4002 Å, c = 6.1160 Å
α = 90.00°, β = 108.67°, γ = 90.00°
Closest atoms and distances in Å follow each position.
Space group C2/c (No. 15)
Unique sites:
Dy 0.0000 0.0953 0.2500 (multiplicity 4)  10 Tm 3.36-3.70
Tm 0.1029 0.3171 0.5475 (multiplicity 8)  2 Zn 3.01, 3 Tm 3.25-3.34
Tm 0.2243 0.1137 0.8746 (multiplicity 8)  2 Zn 3.13, 4 Tm 3.25-3.50, 2 Dy 3.36-3.46
Zn 0.0000 0.5001 0.2500 (multiplicity 4)  8 Tm 3.01-3.13, 2 Zn 3.06

Top of the stability list: run one, leading by 0.103 eV/atom.